Entry 1:
9
Lattice="7.9471 0.0000 0.0000 -3.9736 6.8824 0.0000 0.0000 0.0000 3.5055" Properties=species:S:1:pos:R:3 comment="CeDy2Al6 | Alexandria | PBE | relaxed" m_tot_mub_per_atom=0.08 sg="No. 191" dft_energy_ev_per_atom=-4.6417 formation_energy_ev_per_atom=-0.465 pbc="T T T"
Ce 0.0000 0.0000 0.0000
Dy 0.0000 4.5883 0.0000
Dy 3.9736 2.2941 0.0000
Al -1.3290 2.3018 1.7527
Al -2.6446 4.5806 1.7527
Al 2.6579 0.0000 1.7527
Al 1.3290 2.3018 1.7527
Al 5.2892 0.0000 1.7527
Al 2.6446 4.5806 1.7527

***

Entry 2:
4
Lattice="4.7906 0.0000 0.0000 0.0000 4.7906 0.0000 0.0000 0.0000 4.5989" Properties=species:S:1:pos:R:3 comment="CeDy2Al | Alexandria | PBE | relaxed" m_tot_mub_per_atom=0.00 sg="No. 123" dft_energy_ev_per_atom=-4.8679 formation_energy_ev_per_atom=-0.148 pbc="T T T"
Ce 0.0000 0.0000 0.0000
Dy 0.0000 2.3953 2.2994
Dy 2.3953 0.0000 2.2994
Al 2.3953 2.3953 0.0000

***

Entry 3:
4
Lattice="0.0000 3.7404 3.7404 3.7404 0.0000 3.7404 3.7404 3.7404 0.0000" Properties=species:S:1:pos:R:3 comment="CeDy2Al | Alexandria | PBE | relaxed" m_tot_mub_per_atom=0.00 sg="No. 225" dft_energy_ev_per_atom=-4.7211 formation_energy_ev_per_atom=-0.001 pbc="T T T"
Ce 0.0000 0.0000 0.0000
Dy 1.8702 1.8702 1.8702
Dy 5.6106 5.6106 5.6106
Al 3.7404 3.7404 3.7404

***

Entry 4:
12
Lattice="5.5618 0.0000 0.0000 -2.7809 4.8167 0.0000 0.0000 0.0000 9.1670" Properties=species:S:1:pos:R:3 comment="CeDy3Al8 | Alexandria | PBE | relaxed" m_tot_mub_per_atom=0.05 sg="No. 156" dft_energy_ev_per_atom=-4.6239 formation_energy_ev_per_atom=-0.484 pbc="T T T"
Ce 0.0000 0.0000 0.0000
Dy 0.0000 0.0000 3.2985
Dy 2.7809 1.6056 4.5649
Dy 2.7809 1.6056 7.9306
Al 0.0000 1.5628 6.2340
Al -1.4275 4.0353 6.2340
Al 0.0000 3.2111 3.9902
Al 0.0000 3.2111 8.5294
Al 2.7809 0.0386 1.6834
Al 1.4239 2.3890 1.6834
Al 1.4275 4.0353 6.2340
Al 4.1379 2.3890 1.6834

***

Entry 5:
12
Lattice="2.7866 1.6088 9.1190 -2.7866 1.6088 9.1190 0.0000 -3.2177 9.1190" Properties=species:S:1:pos:R:3 comment="CeDy3Al8 | Alexandria | PBE | relaxed" m_tot_mub_per_atom=0.04 sg="No. 160" dft_energy_ev_per_atom=-4.6349 formation_energy_ev_per_atom=-0.495 pbc="T T T"
Ce 0.0000 0.0000 0.0000
Dy 0.0000 0.0000 3.4075
Dy 0.0000 0.0000 13.6809
Dy 0.0000 0.0000 17.1148
Al 0.0000 -1.6114 6.2536
Al -1.3955 0.8057 6.2536
Al -1.3900 -0.8025 10.8480
Al 0.0000 0.0000 8.5433
Al 1.3955 0.8057 6.2536
Al 1.3900 -0.8025 10.8481
Al 0.0000 1.6050 10.8481
Al 0.0000 0.0000 22.2410

***

Entry 6:
12
Lattice="2.7840 1.6074 8.8167 -2.7840 1.6074 8.8167 0.0000 -3.2147 8.8167" Properties=species:S:1:pos:R:3 comment="CeDy2Al9 | Alexandria | PBE | relaxed" m_tot_mub_per_atom=0.07 sg="No. 166" dft_energy_ev_per_atom=-4.4589 formation_energy_ev_per_atom=-0.390 pbc="T T T"
Ce 0.0000 0.0000 0.0000
Dy 0.0000 0.0000 3.7200
Dy 0.0000 0.0000 22.7300
Al -1.4188 -0.8192 11.0252
Al 0.0000 0.0000 8.8613
Al 0.0000 -1.6383 15.4248
Al -1.4188 0.8192 15.4248
Al 0.0000 0.0000 13.2250
Al 1.4188 -0.8192 11.0252
Al 0.0000 1.6383 11.0252
Al 0.0000 0.0000 17.5887
Al 1.4188 0.8192 15.4249